# 1
DFT (PBE-GGA) results for crystalline ZrTc2Se at its relaxed geometry.

* formation energy (no corrections): 0.176 eV per atom
* calculated volume: 17.35 Å³/atom

```
data_ZrTc2Se
_space_group_name_H-M_alt 'R -3 m'
_space_group_IT_number 166
_space_group_name_Hall '-R 3 2"'
_cell_length_a 3.1525
_cell_length_b 3.1525
_cell_length_c 24.1961
_cell_angle_alpha 90.00
_cell_angle_beta 90.00
_cell_angle_gamma 120.00
loop_
_atom_site_label
_atom_site_type_symbol
_atom_site_fract_x
_atom_site_fract_y
_atom_site_fract_z
Zr1 Zr 0.0000 0.0000 0.0000
Tc1 Tc 0.0000 0.0000 0.2456
Se1 Se 0.0000 0.0000 0.5000
```

***

# 2
DFT (PBE-GGA) results for crystalline ZrTc2Se at its relaxed geometry.

* formation energy (no corrections): 0.276 eV per atom
* calculated volume: 18.38 Å³/atom

```
data_ZrTc2Se
_space_group_name_H-M_alt 'I -4 2 d'
_space_group_IT_number 122
_space_group_name_Hall 'I -4 2bw'
_cell_length_a 7.410
_cell_length_b 7.410
_cell_length_c 5.354
_cell_angle_alpha 90.00
_cell_angle_beta 90.00
_cell_angle_gamma 90.00
loop_
_atom_site_label
_atom_site_type_symbol
_atom_site_fract_x
_atom_site_fract_y
_atom_site_fract_z
Zr1 Zr 0.000 0.000 0.000
Tc1 Tc 0.176 0.250 0.625
Se1 Se 0.000 0.000 0.500
```

***

Which of these has the highest formation energy (no corrections)? number 2

***

Repeat the first record exactly.
DFT (PBE-GGA) results for crystalline ZrTc2Se at its relaxed geometry.

* formation energy (no corrections): 0.176 eV per atom
* calculated volume: 17.35 Å³/atom

```
data_ZrTc2Se
_space_group_name_H-M_alt 'R -3 m'
_space_group_IT_number 166
_space_group_name_Hall '-R 3 2"'
_cell_length_a 3.1525
_cell_length_b 3.1525
_cell_length_c 24.1961
_cell_angle_alpha 90.00
_cell_angle_beta 90.00
_cell_angle_gamma 120.00
loop_
_atom_site_label
_atom_site_type_symbol
_atom_site_fract_x
_atom_site_fract_y
_atom_site_fract_z
Zr1 Zr 0.0000 0.0000 0.0000
Tc1 Tc 0.0000 0.0000 0.2456
Se1 Se 0.0000 0.0000 0.5000
```

***

Which formula does entry 1 have? ZrTc2Se